Entry 1:
A plane-wave DFT calculation with SCAN was carried out for Ba2ZrPt at its PBEsol-relaxed geometry.

Magnetic moment (μB/f.u.): 0.105
Calculated volume (Å³/atom): 32.7
Energy relative to the elements (eV/atom): -0.23

Lattice parameters (Å, degrees): 3.8123 5.8499 6.8245 115.38 106.22 90.00
With the nearest neighbours (Å) after each atom.
Sites, in units of the cell vectors:
Pt (0.4675, 0.4675, 0.9350)  2 Zr 2.56
Ba (0.0072, 0.0072, 0.0144)  4 Pt 3.52, 2 Zr 3.64, 4 Ba 3.72-3.81
Ba (0.2033, 0.7033, 0.4066)  2 Pt 3.36, 2 Ba 3.72, 4 Zr 3.76
Zr (0.8220, 0.3220, 0.6440)  2 Pt 2.56

---

Entry 2:
A plane-wave DFT calculation with SCAN was carried out for BaZrPt2 at its PBEsol-relaxed geometry.

Magnetic moment (μB/f.u.): 0.000
Calculated volume (Å³/atom): 21.6
Energy relative to the elements (eV/atom): -0.56

Lattice parameters (Å, degrees): 3.1266 5.2615 5.2615 90.00 90.00 90.00
With the nearest neighbours (Å) after each atom.
Sites, in units of the cell vectors:
Pt (0.0000, 0.0000, 0.5000)  4 Zr 3.06, 4 Ba 3.06, 2 Pt 3.13
Pt (0.0000, 0.5000, 0.0000)  4 Zr 3.06, 4 Ba 3.06, 2 Pt 3.13
Zr (0.5000, 0.5000, 0.5000)  8 Pt 3.06, 2 Zr 3.13
Ba (0.5000, 0.0000, 0.0000)  8 Pt 3.06, 2 Ba 3.13

---

Entry 3:
A plane-wave DFT calculation with SCAN was carried out for Rb2BaZrRh at its PBEsol-relaxed geometry.

Magnetic moment (μB/f.u.): 1.214
Calculated volume (Å³/atom): 42.9
Energy relative to the elements (eV/atom): 0.69

Lattice parameters (Å, degrees): 4.6987 6.7530 6.7530 90.00 90.00 90.00
With the nearest neighbours (Å) after each atom.
Sites, in units of the cell vectors:
Rh (0.5000, 0.0000, 0.0000)  2 Zr 2.35
Zr (0.0000, 0.0000, 0.0000)  2 Rh 2.35
Rb (0.0000, 0.0000, 0.5000)  2 Zr 3.38
Rb (0.0000, 0.5000, 0.0000)  2 Zr 3.38
Ba (0.5000, 0.5000, 0.5000)  8 Rb 4.11

---

Entry 4:
A plane-wave DFT calculation with SCAN was carried out for Rb3BaRu at its PBEsol-relaxed geometry.

Magnetic moment (μB/f.u.): 0.993
Calculated volume (Å³/atom): 54.0
Energy relative to the elements (eV/atom): 0.92

Lattice parameters (Å, degrees): 6.4617 6.4617 6.4617 90.00 90.00 90.00
With the nearest neighbours (Å) after each atom.
Sites, in units of the cell vectors:
Ru (0.0000, 0.0000, 0.0000)  6 Rb 3.23
Rb (0.5000, 0.0000, 0.0000)  2 Ru 3.23
Rb (0.0000, 0.5000, 0.0000)  2 Ru 3.23
Rb (0.0000, 0.0000, 0.5000)  2 Ru 3.23
Ba (0.5000, 0.5000, 0.5000)  12 Rb 4.57

---

Entry 5:
A plane-wave DFT calculation with SCAN was carried out for Rb2BaSbRu at its PBEsol-relaxed geometry.

Energy (eV for the cell shown): -151.297
Magnetic moment (μB/f.u.): 1.560
Calculated volume (Å³/atom): 37.9

Lattice parameters (Å, degrees): 5.1110 6.0860 6.0860 90.00 90.00 90.00
With the nearest neighbours (Å) after each atom.
Sites, in units of the cell vectors:
Ba (0.5000, 0.5000, 0.5000)  8 Rb 3.97, 4 Sb 4.30
Sb (0.5000, 0.0000, 0.0000)  2 Ru 2.56
Rb (0.0000, 0.5000, 0.0000)  2 Ru 3.04
Rb (0.0000, 0.0000, 0.5000)  2 Ru 3.04
Ru (0.0000, 0.0000, 0.0000)  2 Sb 2.56

---

Entry 6:
A plane-wave DFT calculation with SCAN was carried out for RbBaTaS4 at its PBEsol-relaxed geometry.

Energy (eV for the cell shown): -709.198
Magnetic moment (μB/f.u.): 0.000
Calculated volume (Å³/atom): 28.7

Lattice parameters (Å, degrees): 6.9441 9.3332 12.3993 90.00 90.00 90.00
With the nearest neighbours (Å) after each atom.
Sites, in units of the cell vectors:
S (0.5123, 0.3169, 0.1633)  1 Ta 2.25
S (0.7500, 0.1943, 0.4050)  1 Ta 2.27
S (0.2500, 0.4871, 0.4134)  1 Ta 2.27
S (0.4877, 0.1831, 0.6633)  1 Ta 2.25
S (0.7500, 0.5129, 0.5866)  1 Ta 2.27
S (0.2500, 0.3057, 0.9050)  1 Ta 2.27
S (0.9877, 0.3169, 0.1633)  1 Ta 2.25
S (0.5123, 0.8169, 0.3367)  1 Ta 2.25
S (0.0123, 0.6831, 0.8367)  1 Ta 2.25
S (0.7500, 0.6943, 0.0950)  1 Ta 2.27
S (0.7500, 0.0129, 0.9134)  1 Ta 2.27
S (0.9877, 0.8169, 0.3367)  1 Ta 2.25
S (0.2500, 0.8057, 0.5950)  1 Ta 2.27
S (0.4877, 0.6831, 0.8367)  1 Ta 2.25
S (0.0123, 0.1831, 0.6633)  1 Ta 2.25
S (0.2500, 0.9871, 0.0866)  1 Ta 2.27
Ba (0.2500, 0.9795, 0.8257)  7 S 3.20-3.29
Ba (0.2500, 0.4795, 0.6743)  7 S 3.20-3.29
Ba (0.7500, 0.0205, 0.1743)  7 S 3.20-3.29
Ba (0.7500, 0.5205, 0.3257)  7 S 3.20-3.29
Rb (0.7500, 0.8642, 0.5878)  7 S 3.28-3.61
Rb (0.7500, 0.3642, 0.9122)  7 S 3.28-3.61
Rb (0.2500, 0.6358, 0.0878)  7 S 3.28-3.61
Rb (0.2500, 0.1358, 0.4122)  7 S 3.28-3.61
Ta (0.7500, 0.7700, 0.9211)  4 S 2.25-2.27
Ta (0.2500, 0.7300, 0.4211)  4 S 2.25-2.27
Ta (0.2500, 0.2300, 0.0789)  4 S 2.25-2.27
Ta (0.7500, 0.2700, 0.5789)  4 S 2.25-2.27

---

Entry 7:
A plane-wave DFT calculation with SCAN was carried out for RbBaSb at its PBEsol-relaxed geometry.

Energy (eV for the cell shown): -400.970
Magnetic moment (μB/f.u.): 0.000
Calculated volume (Å³/atom): 44.0

Lattice parameters (Å, degrees): 5.7125 9.0937 10.1735 90.00 90.00 90.00
With the nearest neighbours (Å) after each atom.
Sites, in units of the cell vectors:
Ba (0.2500, 0.1601, 0.0847)  4 Sb 3.42-3.45
Ba (0.7500, 0.3399, 0.5847)  4 Sb 3.42-3.45
Ba (0.7500, 0.8399, 0.9153)  4 Sb 3.42-3.45
Ba (0.2500, 0.6601, 0.4153)  4 Sb 3.42-3.45
Rb (0.7500, 0.4878, 0.1819)  5 Sb 3.74-4.10, 2 Ba 4.03
Rb (0.7500, 0.9878, 0.3181)  5 Sb 3.74-4.10, 2 Ba 4.03
Rb (0.2500, 0.0122, 0.6819)  5 Sb 3.74-4.10, 2 Ba 4.03
Rb (0.2500, 0.5122, 0.8181)  5 Sb 3.74-4.10, 2 Ba 4.03
Sb (0.2500, 0.7805, 0.0968)  4 Ba 3.42-3.45, 1 Rb 3.74
Sb (0.2500, 0.2805, 0.4032)  4 Ba 3.42-3.45, 1 Rb 3.74
Sb (0.7500, 0.2195, 0.9032)  4 Ba 3.42-3.45, 1 Rb 3.74
Sb (0.7500, 0.7195, 0.5968)  4 Ba 3.42-3.45, 1 Rb 3.74

---

Entry 8:
A plane-wave DFT calculation with SCAN was carried out for RbBa2Sb2 at its PBEsol-relaxed geometry.

Energy (eV for the cell shown): -357.800
Magnetic moment (μB/f.u.): 0.000
Calculated volume (Å³/atom): 38.8

Lattice parameters (Å, degrees): 3.9064 9.9665 9.9665 90.00 90.00 90.00
With the nearest neighbours (Å) after each atom.
Sites, in units of the cell vectors:
Sb (0.5000, 0.1681, 0.6681)  6 Ba 3.46-3.57
Sb (0.5000, 0.3319, 0.1681)  6 Ba 3.46-3.57
Sb (0.5000, 0.8319, 0.3319)  6 Ba 3.46-3.57
Sb (0.5000, 0.6681, 0.8319)  6 Ba 3.46-3.57
Ba (0.0000, 0.3710, 0.8710)  6 Sb 3.46-3.57, 1 Ba 3.64
Ba (0.0000, 0.6290, 0.1290)  6 Sb 3.46-3.57, 1 Ba 3.64
Ba (0.0000, 0.1290, 0.3710)  6 Sb 3.46-3.57, 1 Ba 3.64
Ba (0.0000, 0.8710, 0.6290)  6 Sb 3.46-3.57, 1 Ba 3.64
Rb (0.0000, 0.0000, 0.0000)  2 Rb 3.91, 4 Ba 3.91, 8 Sb 4.19
Rb (0.0000, 0.5000, 0.5000)  2 Rb 3.91, 4 Ba 3.91, 8 Sb 4.19

---

Entry 9:
A plane-wave DFT calculation with SCAN was carried out for RbBa3Sc at its PBEsol-relaxed geometry.

Magnetic moment (μB/f.u.): 3.845
Calculated volume (Å³/atom): 63.0
Energy relative to the elements (eV/atom): 0.43

Lattice parameters (Å, degrees): 6.8054 6.8054 6.8054 90.00 90.00 90.00
With the nearest neighbours (Å) after each atom.
Sites, in units of the cell vectors:
Ba (0.5000, 0.0000, 0.0000)  2 Sc 3.40
Ba (0.0000, 0.0000, 0.5000)  2 Sc 3.40
Ba (0.0000, 0.5000, 0.0000)  2 Sc 3.40
Sc (0.0000, 0.0000, 0.0000)  6 Ba 3.40
Rb (0.5000, 0.5000, 0.5000)  12 Ba 4.81

---

Entry 10:
A plane-wave DFT calculation with SCAN was carried out for Rb3BaSn at its PBEsol-relaxed geometry.

Magnetic moment (μB/f.u.): 1.027
Calculated volume (Å³/atom): 70.4
Energy relative to the elements (eV/atom): 0.19

Lattice parameters (Å, degrees): 7.0623 7.0623 7.0623 90.00 90.00 90.00
With the nearest neighbours (Å) after each atom.
Sites, in units of the cell vectors:
Rb (0.5000, 0.0000, 0.0000)  2 Sn 3.53
Rb (0.0000, 0.5000, 0.0000)  2 Sn 3.53
Rb (0.0000, 0.0000, 0.5000)  2 Sn 3.53
Ba (0.5000, 0.5000, 0.5000)  12 Rb 4.99
Sn (0.0000, 0.0000, 0.0000)  6 Rb 3.53

---

Entry 11:
A plane-wave DFT calculation with SCAN was carried out for RbBaSr3 at its PBEsol-relaxed geometry.

Magnetic moment (μB/f.u.): 3.471
Calculated volume (Å³/atom): 68.2
Energy relative to the elements (eV/atom): 0.51

Lattice parameters (Å, degrees): 6.9848 6.9848 6.9848 90.00 90.00 90.00
With the nearest neighbours (Å) after each atom.
Sites, in units of the cell vectors:
Rb (0.5000, 0.5000, 0.5000)  12 Sr 4.94
Sr (0.5000, 0.0000, 0.0000)  2 Ba 3.49
Sr (0.0000, 0.5000, 0.0000)  2 Ba 3.49
Sr (0.0000, 0.0000, 0.5000)  2 Ba 3.49
Ba (0.0000, 0.0000, 0.0000)  6 Sr 3.49

---

Entry 12:
A plane-wave DFT calculation with SCAN was carried out for RbBa2Sr at its PBEsol-relaxed geometry.

Magnetic moment (μB/f.u.): 0.000
Calculated volume (Å³/atom): 61.7
Energy relative to the elements (eV/atom): 0.14

Lattice parameters (Å, degrees): 7.0391 7.0391 7.0391 60.00 60.00 60.00
With the nearest neighbours (Å) after each atom.
Sites, in units of the cell vectors:
Ba (0.2500, 0.2500, 0.2500)  4 Rb 4.31, 4 Sr 4.31
Ba (0.7500, 0.7500, 0.7500)  4 Rb 4.31, 4 Sr 4.31
Rb (0.0000, 0.0000, 0.0000)  8 Ba 4.31
Sr (0.5000, 0.5000, 0.5000)  8 Ba 4.31